An optimized crystal structure of ScFeF5. Source: the Alexandria database, functional GGA+U.

The structure belongs to space group P2_1/c (No. 14); the cell edges are 5.4684, 10.1871 and 7.9551 Å and the angles 90.00°, 107.64° and 90.00°. The asymmetric unit holds Sc at (0.0793, 0.2423, 0.3709), Fe at (0.4880, 0.0052, 0.2094), F at (0.1100, 0.2085, 0.6283), F at (0.1806, 0.5998, 0.2152), F at (0.2141, 0.6281, 0.6651), F at (0.3442, 0.1067, 0.9649) and F at (0.3582, 0.1106, 0.3865).

As for the total energy: -44.32 eV/f.u. Its crystal system is monoclinic. As for the total magnetization: 16.00 μB/cell.